An optimized crystal structure of AlHPd3. Source: Alexandria, functional PBEsol.

Unit cell a=5.5205 b=7.7791 c=5.5451 alpha=90.00 beta=90.00 gamma=90.00
Positions (direct):
Al: 0.0021 0.2500 0.0012
Al: 0.4979 0.7500 0.5012
Al: 0.5021 0.2500 0.4988
Al: 0.9979 0.7500 0.9988
H: 0.0000 0.0000 0.5000
H: 0.0000 0.5000 0.5000
H: 0.5000 0.0000 0.0000
H: 0.5000 0.5000 0.0000
Pd: 0.9997 0.2500 0.5398
Pd: 0.0003 0.7500 0.4602
Pd: 0.2471 0.5202 0.7529
Pd: 0.2471 0.9798 0.7529
Pd: 0.2529 0.0202 0.2529
Pd: 0.2529 0.4798 0.2529
Pd: 0.4997 0.2500 0.9602
Pd: 0.5003 0.7500 0.0398
Pd: 0.7471 0.5202 0.7471
Pd: 0.7471 0.9798 0.7471
Pd: 0.7529 0.0202 0.2471
Pd: 0.7529 0.4798 0.2471

Space group ... No. 62
Crystal system ... orthorhombic
Polymorph energy (0 for the lowest one) ... 0.00 kJ/mol of atoms
N(E_F) ... 1.639 states/eV per cell

=====

An optimized crystal structure of Li2CaHg. Source: Alexandria, functional PBEsol.

Unit cell a=4.3247 b=4.3247 c=20.8472 alpha=90.00 beta=90.00 gamma=90.00
Positions (direct):
Li: 0.1837 0.2500 0.1250
Li: 0.2500 0.6837 0.3750
Li: 0.2500 0.8163 0.8750
Li: 0.3163 0.2500 0.6250
Li: 0.6837 0.7500 0.6250
Li: 0.7500 0.1837 0.8750
Li: 0.7500 0.3163 0.3750
Li: 0.8163 0.7500 0.1250
Ca: 0.0000 0.0000 0.5000
Ca: 0.0000 0.5000 0.7500
Ca: 0.5000 0.0000 0.2500
Ca: 0.5000 0.5000 0.0000
Hg: 0.0000 0.0000 0.0000
Hg: 0.0000 0.5000 0.2500
Hg: 0.5000 0.0000 0.7500
Hg: 0.5000 0.5000 0.5000

E_form ... -0.1759 eV/atom
Space group ... No. 122
Crystal system ... tetragonal
N(E_F) ... 6.827 states/eV per cell

=====

An optimized crystal structure of Nb4VSe8. Source: Alexandria, functional PBEsol.

Unit cell a=6.8776 b=6.8776 c=12.5686 alpha=90.00 beta=90.00 gamma=120.00
Positions (direct):
Nb: 0.0000 0.0000 0.2500
Nb: 0.0000 0.0000 0.7500
Nb: 0.0135 0.5068 0.2500
Nb: 0.4932 0.5068 0.2500
Nb: 0.4932 0.9865 0.2500
Nb: 0.5068 0.0135 0.7500
Nb: 0.5068 0.4932 0.7500
Nb: 0.9865 0.4932 0.7500
V: 0.0000 0.0000 0.0000
V: 0.0000 0.0000 0.5000
Se: 0.1680 0.3361 0.6180
Se: 0.1680 0.3361 0.8820
Se: 0.1680 0.8320 0.6180
Se: 0.1680 0.8320 0.8820
Se: 0.3333 0.6667 0.1129
Se: 0.3333 0.6667 0.3871
Se: 0.3361 0.1680 0.1180
Se: 0.3361 0.1680 0.3820
Se: 0.6639 0.8320 0.6180
Se: 0.6639 0.8320 0.8820
Se: 0.6667 0.3333 0.6129
Se: 0.6667 0.3333 0.8871
Se: 0.8320 0.1680 0.1180
Se: 0.8320 0.1680 0.3820
Se: 0.8320 0.6639 0.1180
Se: 0.8320 0.6639 0.3820

Space group ... No. 194
Crystal system ... hexagonal
Formation energy from raw total energies ... -948 meV per atom
N(E_F) ... 12.690 states/eV per cell

=====

An optimized crystal structure of PtWAu2. Source: Alexandria, functional PBEsol.

Unit cell a=2.8132 b=2.8132 c=8.0850 alpha=90.00 beta=90.00 gamma=90.00
Positions (direct):
Pt: 0.0000 0.0000 0.0000
W: 0.5000 0.5000 0.2238
Au: 0.0000 0.0000 0.4732
Au: 0.5000 0.5000 0.7381

E_form ... -0.0179 eV/atom
Space group ... No. 99
Crystal system ... tetragonal
Polymorph energy (0 for the lowest one) ... 0.00 kJ/mol of atoms
N(E_F) ... 2.263 states/eV per cell

=====

An optimized crystal structure of Sc2IrRh. Source: Alexandria, functional PBEsol.

Unit cell a=3.1465 b=3.1465 c=6.5300 alpha=90.00 beta=90.00 gamma=90.00
Positions (direct):
Sc: 0.0000 0.0000 0.2505
Sc: 0.0000 0.0000 0.7495
Ir: 0.5000 0.5000 0.0000
Rh: 0.5000 0.5000 0.5000

E_form ... -1.0029 eV/atom
Space group ... No. 123
Crystal system ... tetragonal
Polymorph energy (0 for the lowest one) ... 1.24 kJ/mol of atoms
N(E_F) ... 1.222 states/eV per cell

=====

An optimized crystal structure of Sc2SiNi. Source: Alexandria, functional PBEsol.

Unit cell a=3.1394 b=4.2987 c=9.7060 alpha=90.00 beta=90.00 gamma=90.00
Positions (direct):
Sc: 0.0000 0.0000 0.0000
Sc: 0.0000 0.5000 0.2199
Sc: 0.5000 0.0000 0.7199
Sc: 0.5000 0.5000 0.5000
Si: 0.0000 0.5000 0.7943
Si: 0.5000 0.0000 0.2943
Ni: 0.0000 0.0000 0.4716
Ni: 0.5000 0.5000 0.9716

Space group ... No. 44
Crystal system ... orthorhombic
Formation energy from raw total energies ... -585 meV per atom
N(E_F) ... 7.695 states/eV per cell

=====

An optimized crystal structure of Li2TaPb. Source: Alexandria, functional PBEsol.

Unit cell a=7.3352 b=7.3352 c=5.5714 alpha=90.00 beta=90.00 gamma=90.00
Positions (direct):
Li: 0.2387 0.2500 0.1250
Li: 0.2500 0.7387 0.3750
Li: 0.2500 0.7613 0.8750
Li: 0.2613 0.2500 0.6250
Li: 0.7387 0.7500 0.6250
Li: 0.7500 0.2387 0.8750
Li: 0.7500 0.2613 0.3750
Li: 0.7613 0.7500 0.1250
Ta: 0.0000 0.0000 0.5000
Ta: 0.0000 0.5000 0.7500
Ta: 0.5000 0.0000 0.2500
Ta: 0.5000 0.5000 0.0000
Pb: 0.0000 0.0000 0.0000
Pb: 0.0000 0.5000 0.2500
Pb: 0.5000 0.0000 0.7500
Pb: 0.5000 0.5000 0.5000

E_form ... 0.6870 eV/atom
Space group ... No. 122
Crystal system ... tetragonal
N(E_F) ... 16.209 states/eV per cell

=====

An optimized crystal structure of NiOsRh2. Source: Alexandria, functional PBEsol.

Unit cell a=2.6615 b=2.6615 c=25.4557 alpha=90.00 beta=90.00 gamma=120.00
Positions (direct):
Ni: 0.0000 0.0000 0.0000
Ni: 0.3333 0.6667 0.6667
Ni: 0.6667 0.3333 0.3333
Os: 0.0000 0.0000 0.5000
Os: 0.3333 0.6667 0.1667
Os: 0.6667 0.3333 0.8333
Rh: 0.0000 0.0000 0.2517
Rh: 0.0000 0.0000 0.7483
Rh: 0.3333 0.6667 0.4150
Rh: 0.3333 0.6667 0.9184
Rh: 0.6667 0.3333 0.0816
Rh: 0.6667 0.3333 0.5850

E_form ... 0.0653 eV/atom
Space group ... No. 166
Crystal system ... trigonal
Polymorph energy (0 for the lowest one) ... 3.93 kJ/mol of atoms
N(E_F) ... 13.801 states/eV per cell

=====

An optimized crystal structure of LaFeW2. Source: Alexandria, functional PBEsol.

Unit cell a=4.5778 b=4.5778 c=3.2091 alpha=90.00 beta=90.00 gamma=90.00
Positions (direct):
La: 0.0000 0.0000 0.0000
Fe: 0.5000 0.5000 0.0000
W: 0.0000 0.5000 0.5000
W: 0.5000 0.0000 0.5000

E_form ... 1.0702 eV/atom
Space group ... No. 123
Crystal system ... tetragonal
Polymorph energy (0 for the lowest one) ... 59.39 kJ/mol of atoms
N(E_F) ... 4.815 states/eV per cell

=====

An optimized crystal structure of CaSi4Ir. Source: Alexandria, functional PBEsol.

Unit cell a=5.0877 b=5.0877 c=5.0877 alpha=60.00 beta=60.00 gamma=60.00
Positions (direct):
Ca: 0.0000 0.0000 0.0000
Si: 0.1269 0.6244 0.6244
Si: 0.6244 0.1269 0.6244
Si: 0.6244 0.6244 0.1269
Si: 0.6244 0.6244 0.6244
Ir: 0.2500 0.2500 0.2500

Space group ... No. 216
Crystal system ... cubic
Formation energy from raw total energies ... 192 meV per atom
N(E_F) ... 4.264 states/eV per cell

=====

An optimized crystal structure of ScTa2Fe. Source: Alexandria, functional PBEsol.

Unit cell a=3.8077 b=3.8077 c=9.1978 alpha=90.00 beta=90.00 gamma=90.00
Positions (direct):
Sc: 0.0000 0.0000 0.0000
Sc: 0.5000 0.5000 0.5000
Ta: 0.0000 0.5000 0.2500
Ta: 0.0000 0.5000 0.7500
Ta: 0.5000 0.0000 0.2500
Ta: 0.5000 0.0000 0.7500
Fe: 0.0000 0.0000 0.5000
Fe: 0.5000 0.5000 0.0000

E_form ... 0.2587 eV/atom
Space group ... No. 139
Crystal system ... tetragonal
Polymorph energy (0 for the lowest one) ... 2.59 kJ/mol of atoms
N(E_F) ... 10.912 states/eV per cell

=====

An optimized crystal structure of SrCr3Cd. Source: Alexandria, functional PBEsol.

Unit cell a=5.1372 b=5.1372 c=5.1372 alpha=90.00 beta=90.00 gamma=90.00
Positions (direct):
Sr: 0.0000 0.0000 0.0000
Cr: 0.0000 0.5000 0.5000
Cr: 0.5000 0.0000 0.5000
Cr: 0.5000 0.5000 0.0000
Cd: 0.5000 0.5000 0.5000

E_form ... 1.3642 eV/atom
Space group ... No. 221
Crystal system ... cubic
N(E_F) ... 4.448 states/eV per cell